Entry 1:
Ca2GaBi (PBE, optimized geometry); spin magnetization = 0.00 μB/f.u.; E_tot = -0.240 Ry per atom; ΔE_f = -537 meV/atom; energy above the most stable polymorph in this dataset = 37 meV per atom
1.0
0.000 3.853 3.853
3.853 0.000 3.853
3.853 3.853 0.000
Ca Ga Bi
2 1 1
direct
0.250 0.250 0.250
0.750 0.750 0.750
0.000 0.000 0.000
0.500 0.500 0.500

---

Entry 2:
TiCrTePS (PBE, optimized geometry); spin magnetization = 2.95 μB/f.u.; E_tot = -0.476 Ry per atom; energy above the most stable polymorph in this dataset = 302 meV per atom; E_form (uncorrected) = -0.43 eV/atom
1.0
5.454 -2.687 0.000
5.454 2.687 0.000
-1.158 0.000 3.360
Ti Cr Te P S
1 1 1 1 1
direct
0.000 0.000 0.000
0.323 0.323 0.326
0.526 0.526 0.028
0.838 0.838 0.340
0.173 0.173 0.675

---

Entry 3:
Sm2OsCl (PBE, optimized geometry); spin magnetization = 0.00 μB/f.u.; E_tot = -0.411 Ry per atom; energy above the most stable polymorph in this dataset = 818 meV per atom; E_form (uncorrected) = 0.03 eV/atom
1.0
1.640 0.947 9.889
-1.640 0.947 9.889
0.000 -1.893 9.889
Sm Os Cl
2 1 1
direct
0.088 0.088 0.088
0.912 0.912 0.912
0.000 0.000 0.000
0.500 0.500 0.500

---

Entry 4:
LaAl2Ag (PBE, optimized geometry); spin magnetization = 0.00 μB/f.u.; E_tot = -0.308 Ry per atom; ΔE_f = -375 meV/atom; energy above the most stable polymorph in this dataset = 18 meV per atom
1.0
6.897 0.000 0.000
0.000 2.360 5.459
0.000 -2.360 5.459
La Al Ag
2 4 2
direct
0.000 0.000 0.000
0.500 0.190 0.190
0.000 0.300 0.300
0.307 0.477 0.477
0.500 0.897 0.897
0.693 0.477 0.477
0.199 0.718 0.718
0.801 0.718 0.718

---

Entry 5:
Pm2Dy3Ga4 (PBE, optimized geometry); spin magnetization = 0.00 μB/f.u.; E_tot = -0.332 Ry per atom; ΔE_f = -576 meV/atom; energy above the most stable polymorph in this dataset = 0 meV per atom
1.0
7.992 0.000 0.000
0.000 8.019 0.000
-2.145 0.000 7.228
Pm Dy Ga
4 6 8
direct
0.190 0.183 0.074
0.190 0.317 0.574
0.810 0.683 0.426
0.810 0.817 0.926
0.239 0.675 0.251
0.239 0.825 0.751
0.500 0.000 0.500
0.500 0.500 0.000
0.761 0.175 0.249
0.761 0.325 0.749
0.081 0.530 0.867
0.081 0.970 0.367
0.493 0.121 0.879
0.493 0.379 0.379
0.507 0.621 0.621
0.507 0.879 0.121
0.919 0.030 0.633
0.919 0.470 0.133

---

Entry 6:
Mg3Zn7Ga2 (PBE, optimized geometry); spin magnetization = 0.00 μB/f.u.; E_tot = -0.125 Ry per atom; ΔE_f = -50 meV/atom; energy above the most stable polymorph in this dataset = 0 meV per atom
1.0
2.671 1.542 8.425
-2.671 1.542 8.425
0.000 -3.084 8.425
Mg Zn Ga
3 7 2
direct
0.000 0.000 0.000
0.141 0.141 0.141
0.859 0.859 0.859
0.079 0.590 0.590
0.410 0.410 0.921
0.410 0.921 0.410
0.500 0.500 0.500
0.590 0.079 0.590
0.590 0.590 0.079
0.921 0.410 0.410
0.334 0.334 0.334
0.666 0.666 0.666

---

| no. | D(E_F) (states/eV/cell) |
| --- | --- |
| 1 | 2.6 |
| 2 | 1.7 |
| 3 | 3.1 |
| 4 | 2.6 |
| 5 | 15.8 |
| 6 | 4.2 |